# 1
Entry from the Alexandria database: a relaxed Pm2PrDySe4 crystal (PBE-GGA).

Cell and atoms, written as extended XYZ:
```
8
Lattice="7.236 0.000 0.000 0.000 4.130 0.000 -2.364 0.000 6.939" Properties=species:S:1:pos:R:3 pbc="T T T"
Pm 0.000 0.000 0.000
Pm -1.182 2.065 3.470
Pr 2.436 0.000 3.470
Dy 3.618 2.065 0.000
Se 1.238 2.065 1.679
Se 0.057 0.000 5.274
Se 4.815 0.000 1.665
Se 3.634 2.065 5.260
```

Space-group type ... P2/m (10)
Formation energy from raw total energies ... -1809.3 meV per atom

---

# 2
Entry from the Alexandria database: a relaxed PmPrDy4Se8 crystal (PBE-GGA).

Cell and atoms, written as extended XYZ:
```
14
Lattice="4.243 2.450 6.992 -4.243 2.450 6.992 0.000 -4.900 6.992" Properties=species:S:1:pos:R:3 pbc="T T T"
Pm 0.000 0.000 0.000
Pr 0.000 0.000 7.853
Dy 0.000 -2.468 3.522
Dy -2.137 1.234 3.522
Dy 2.137 1.234 3.522
Dy 0.000 0.000 13.147
Se -2.206 -1.273 12.155
Se 0.000 0.000 5.001
Se 0.000 -2.633 8.889
Se -2.280 1.316 8.889
Se 2.206 -1.273 12.155
Se 0.000 2.547 12.155
Se 0.000 0.000 15.911
Se 2.280 1.316 8.889
```

Space-group type ... R3m (160)
Formation energy from raw total energies ... -1717.7 meV per atom

---

# 3
Entry from the Alexandria database: a relaxed Pm4PrSm2Dy2 crystal (PBE-GGA).

Cell and atoms, written as extended XYZ:
```
9
Lattice="7.700 -2.566 0.000 7.700 2.566 0.000 -2.571 0.000 7.685" Properties=species:S:1:pos:R:3 pbc="T T T"
Pm -0.004 0.000 2.558
Pm 2.555 0.000 5.137
Pm 10.275 0.000 2.548
Pm 12.833 0.000 5.127
Pr 7.700 0.000 0.000
Sm 5.125 0.000 2.558
Sm 7.704 0.000 5.127
Dy 0.017 0.000 7.680
Dy 12.812 0.000 0.005
```

Formation energy from the elements ... 0.016 eV/atom
Space-group type ... C2/m (12)

---

# 4
Entry from the Alexandria database: a relaxed PmPr6Sm2Dy crystal (PBE-GGA).

Cell and atoms, written as extended XYZ:
```
20
Lattice="4.665 -7.740 0.000 4.665 7.740 0.000 -1.435 0.000 9.794" Properties=species:S:1:pos:R:3 pbc="T T T"
Pm 3.589 7.393 7.345
Pm 4.306 -7.393 2.448
Pr 1.715 4.310 6.740
Pr 3.982 4.929 0.528
Pr 4.630 4.929 4.369
Pr 2.473 1.634 8.627
Pr 5.462 4.310 7.951
Pr 4.704 1.634 6.064
Pr 3.190 -1.634 3.730
Pr 2.432 -4.310 1.843
Pr 5.422 -1.634 1.167
Pr 3.265 -4.929 5.425
Pr 3.913 -4.929 9.266
Pr 6.180 -4.310 3.054
Sm 1.518 0.755 5.331
Sm 2.235 -0.755 0.434
Sm 5.659 0.755 9.359
Sm 6.377 -0.755 4.463
Dy 4.306 1.405 2.448
Dy 3.589 -1.405 7.345
```

Formation energy from the elements ... 0.111 eV/atom
Space-group type ... C2/c (15)

---

# 5
Entry from the Alexandria database: a relaxed Pm2Pr4SmDy crystal (PBE-GGA).

Cell and atoms, written as extended XYZ:
```
8
Lattice="5.183 0.000 0.000 0.000 5.208 0.000 -0.025 0.000 10.322" Properties=species:S:1:pos:R:3 pbc="T T T"
Pm 0.000 0.000 0.000
Pm 2.579 2.604 5.161
Pr 5.175 2.604 2.562
Pr -0.016 2.604 7.760
Pr 2.584 0.000 2.569
Pr 2.574 0.000 7.753
Sm -0.012 0.000 5.161
Dy 2.592 2.604 0.000
```

Formation energy from the elements ... 0.013 eV/atom
Space-group type ... P2/m (10)

---

# 6
Entry from the Alexandria database: a relaxed PmPrSmDy2 crystal (PBE-GGA).

Cell and atoms, written as extended XYZ:
```
10
Lattice="4.244 -5.839 0.000 4.244 5.839 0.000 0.000 0.000 7.199" Properties=species:S:1:pos:R:3 pbc="T T T"
Pm 4.244 3.198 5.399
Pm 4.244 -3.198 1.800
Pr 4.244 3.155 1.800
Pr 4.244 -3.155 5.399
Sm 4.244 0.013 5.399
Sm 4.244 -0.013 1.800
Dy 1.594 0.000 0.000
Dy 1.594 0.000 3.599
Dy 6.895 0.000 0.000
Dy 6.895 0.000 3.599
```

Formation energy from the elements ... 0.359 eV/atom
Space-group type ... Cmcm (63)

---

# 7
Entry from the Alexandria database: a relaxed PmPr2Sm4Dy crystal (PBE-GGA).

Cell and atoms, written as extended XYZ:
```
8
Lattice="5.146 0.000 0.000 0.000 5.152 0.000 -0.021 0.000 10.301" Properties=species:S:1:pos:R:3 pbc="T T T"
Pm 0.000 0.000 0.000
Pr -0.010 0.000 5.151
Pr 2.573 2.576 0.000
Sm -0.004 2.576 2.596
Sm 5.130 2.576 7.705
Sm 2.568 0.000 2.590
Sm 2.558 0.000 7.711
Dy 2.563 2.576 5.151
```

Formation energy from the elements ... 0.014 eV/atom
Space-group type ... P2/m (10)

---

# 8
Entry from the Alexandria database: a relaxed Pm6PrSm3Dy2 crystal (PBE-GGA).

Cell and atoms, written as extended XYZ:
```
12
Lattice="3.147 -5.448 0.000 3.147 5.448 0.000 -2.100 0.000 11.858" Properties=species:S:1:pos:R:3 pbc="T T T"
Pm -0.008 1.822 8.901
Pm 1.045 0.000 2.957
Pm -0.008 -1.822 8.901
Pm 4.201 1.822 2.957
Pm 3.148 0.000 8.902
Pm 4.201 -1.822 2.957
Pr 3.147 0.000 0.000
Sm -1.050 0.000 5.929
Sm 2.097 1.819 5.929
Sm 2.097 -1.819 5.929
Dy 3.147 3.633 0.000
Dy 3.147 -3.633 0.000
```

Formation energy from the elements ... 0.014 eV/atom
Space-group type ... C2/m (12)